1.
This record from the Alexandria database describes crystalline RbCoTcBi2 at its relaxed geometry. The functional is PBE.

The calculation puts the size of the total moment at 0.510 μB per atom. The value obtained for the formation energy is 630.8 meV per atom. The calculation puts the density of states at the Fermi level at 5.36 states/eV per cell.

The structure belongs to space group P4/mmm (No. 123); the cell edges are 5.340, 5.340 and 5.121 Å and the angles 90.00°, 90.00° and 90.00°. Symmetry generates all atoms from Rb at (0.000, 0.000, 0.000), Co at (0.500, 0.500, 0.000), Tc at (0.500, 0.500, 0.500) and Bi at (0.000, 0.500, 0.500).

2.
This record from the Alexandria database describes crystalline RbTiCo2Bi at its relaxed geometry. The functional is PBE.

The calculation puts the size of the total moment at 1.139 μB per atom. The value obtained for the formation energy is 1243.3 meV per atom. The calculation puts the density of states at the Fermi level at 10.67 states/eV per cell.

The structure belongs to space group P4/mmm (No. 123); the cell edges are 5.059, 5.059 and 5.519 Å and the angles 90.00°, 90.00° and 90.00°. Symmetry generates all atoms from Rb at (0.000, 0.000, 0.000), Ti at (0.500, 0.500, 0.000), Co at (0.000, 0.500, 0.500) and Bi at (0.500, 0.500, 0.500).

3.
This record from the Alexandria database describes crystalline RbCoBiW2 at its relaxed geometry. The functional is PBE.

The calculation puts the size of the total moment at 0.178 μB per atom. The value obtained for the formation energy is 1712.5 meV per atom. The calculation puts the density of states at the Fermi level at 6.31 states/eV per cell.

The structure belongs to space group P4/mmm (No. 123); the cell edges are 4.618, 4.618 and 5.600 Å and the angles 90.00°, 90.00° and 90.00°. Symmetry generates all atoms from Rb at (0.000, 0.000, 0.000), Co at (0.000, 0.000, 0.500), Bi at (0.500, 0.500, 0.000) and W at (0.000, 0.500, 0.500).